(1)
# SbPdPb (PBE, relaxed)
data_SbPdPb
_cell_length_a 4.749
_cell_length_b 4.749
_cell_length_c 4.749
_cell_angle_alpha 60.00
_cell_angle_beta 60.00
_cell_angle_gamma 60.00
_symmetry_space_group_name_H-M 'P 1'
_symmetry_Int_Tables_number 1
loop_
_symmetry_equiv_pos_as_xyz
'x,y,z'
loop_
_atom_site_label
_atom_site_type_symbol
_atom_site_fract_x
_atom_site_fract_y
_atom_site_fract_z
Sb1 Sb 0.000 0.000 0.000
Pd1 Pd 0.250 0.250 0.250
Pb1 Pb 0.500 0.500 0.500
# Offset from the most stable computed form ... 0.027 eV per atom

(2)
# Dy2Y7Er (PBE, relaxed)
data_Dy2Y7Er
_cell_length_a 15.166
_cell_length_b 15.166
_cell_length_c 3.504
_cell_angle_alpha 90.06
_cell_angle_beta 90.06
_cell_angle_gamma 156.53
_symmetry_space_group_name_H-M 'P 1'
_symmetry_Int_Tables_number 1
loop_
_symmetry_equiv_pos_as_xyz
'x,y,z'
loop_
_atom_site_label
_atom_site_type_symbol
_atom_site_fract_x
_atom_site_fract_y
_atom_site_fract_z
Dy1 Dy 0.192 0.808 0.000
Dy2 Dy 0.808 0.192 0.000
Y1 Y 0.154 0.354 0.733
Y2 Y 0.293 0.707 0.500
Y3 Y 0.354 0.154 0.733
Y4 Y 0.500 0.500 0.000
Y5 Y 0.646 0.846 0.267
Y6 Y 0.707 0.293 0.500
Y7 Y 0.846 0.646 0.267
Er1 Er 0.000 0.000 0.500
# E_form ... 0.117 eV per atom
# Offset from the most stable computed form ... 0.000 eV per atom

(3)
# Nd3TmC8 (PBE, relaxed)
data_Nd3TmC8
_cell_length_a 6.393
_cell_length_b 6.393
_cell_length_c 6.393
_cell_angle_alpha 110.79
_cell_angle_beta 110.79
_cell_angle_gamma 106.86
_symmetry_space_group_name_H-M 'P 1'
_symmetry_Int_Tables_number 1
loop_
_symmetry_equiv_pos_as_xyz
'x,y,z'
loop_
_atom_site_label
_atom_site_type_symbol
_atom_site_fract_x
_atom_site_fract_y
_atom_site_fract_z
Nd1 Nd 0.000 0.000 0.000
Nd2 Nd 0.250 0.750 0.500
Nd3 Nd 0.750 0.250 0.500
Tm1 Tm 0.500 0.500 0.000
C1 C 0.114 0.641 0.000
C2 C 0.125 0.442 0.000
C3 C 0.359 0.359 0.473
C4 C 0.442 0.125 0.000
C5 C 0.558 0.558 0.682
C6 C 0.641 0.114 0.000
C7 C 0.875 0.875 0.318
C8 C 0.886 0.886 0.527
# E_form ... 0.150 eV per atom

(4)
# HoSi2Ni8 (PBE, relaxed)
data_HoSi2Ni8
_cell_length_a 5.584
_cell_length_b 5.584
_cell_length_c 4.975
_cell_angle_alpha 90.00
_cell_angle_beta 90.00
_cell_angle_gamma 90.00
_symmetry_space_group_name_H-M 'P 1'
_symmetry_Int_Tables_number 1
loop_
_symmetry_equiv_pos_as_xyz
'x,y,z'
loop_
_atom_site_label
_atom_site_type_symbol
_atom_site_fract_x
_atom_site_fract_y
_atom_site_fract_z
Ho1 Ho 0.000 0.000 0.000
Si1 Si 0.000 0.500 0.500
Si2 Si 0.500 0.000 0.500
Ni1 Ni 0.288 0.288 0.252
Ni2 Ni 0.288 0.288 0.748
Ni3 Ni 0.288 0.712 0.252
Ni4 Ni 0.288 0.712 0.748
Ni5 Ni 0.712 0.288 0.252
Ni6 Ni 0.712 0.288 0.748
Ni7 Ni 0.712 0.712 0.252
Ni8 Ni 0.712 0.712 0.748
# Energy ... -0.2057 hartree per atom

(5)
# Ac6GePt2Br3 (PBE, relaxed)
data_Ac6GePt2Br3
_cell_length_a 10.517
_cell_length_b 10.517
_cell_length_c 9.607
_cell_angle_alpha 105.41
_cell_angle_beta 105.41
_cell_angle_gamma 24.40
_symmetry_space_group_name_H-M 'P 1'
_symmetry_Int_Tables_number 1
loop_
_symmetry_equiv_pos_as_xyz
'x,y,z'
loop_
_atom_site_label
_atom_site_type_symbol
_atom_site_fract_x
_atom_site_fract_y
_atom_site_fract_z
Ac1 Ac 0.015 0.015 0.236
Ac2 Ac 0.322 0.322 0.447
Ac3 Ac 0.340 0.340 0.887
Ac4 Ac 0.660 0.660 0.113
Ac5 Ac 0.678 0.678 0.553
Ac6 Ac 0.985 0.985 0.764
Ge1 Ge 0.500 0.500 0.000
Pt1 Pt 0.169 0.169 0.334
Pt2 Pt 0.831 0.831 0.666
Br1 Br 0.154 0.154 0.827
Br2 Br 0.500 0.500 0.500
Br3 Br 0.846 0.846 0.173
# Energy ... -0.1876 hartree per atom

(6)
# TmB2Os2 (PBE, relaxed)
data_TmB2Os2
_cell_length_a 5.412
_cell_length_b 5.412
_cell_length_c 5.412
_cell_angle_alpha 136.36
_cell_angle_beta 136.36
_cell_angle_gamma 63.42
_symmetry_space_group_name_H-M 'P 1'
_symmetry_Int_Tables_number 1
loop_
_symmetry_equiv_pos_as_xyz
'x,y,z'
loop_
_atom_site_label
_atom_site_type_symbol
_atom_site_fract_x
_atom_site_fract_y
_atom_site_fract_z
Tm1 Tm 0.000 0.000 0.000
B1 B 0.324 0.324 0.000
B2 B 0.676 0.676 0.000
Os1 Os 0.250 0.750 0.500
Os2 Os 0.750 0.250 0.500
# E_form ... -0.380 eV per atom

Number 1: N(E_F) 0.7659 states/eV per atom. Number 2: N(E_F) 1.6632 states/eV per atom. Number 3: N(E_F) 0.2638 states/eV per atom. Number 4: N(E_F) 0.7499 states/eV per atom. Number 5: N(E_F) 0.7227 states/eV per atom. Number 6: N(E_F) 0.3671 states/eV per atom.